# 1
Below is a geometry-optimized Nd2ZrNiS5 structure, with properties calculated at the GGA-PBE level.

a = 3.7999 Å, b = 16.5484 Å, c = 11.5712 Å
α = 90.00°, β = 90.00°, γ = 90.00°
Space group Cmc2_1 (No. 36)
One atom of each set of equivalent atoms:
Nd: 0.0000 0.1150 0.0000 (multiplicity 4)
Nd: 0.0000 0.1202 0.6352 (multiplicity 4)
Zr: 0.0000 0.1803 0.3210 (multiplicity 4)
Ni: 0.0000 0.4323 0.7395 (multiplicity 4)
S: 0.0000 0.0319 0.3383 (multiplicity 4)
S: 0.0000 0.2978 0.9805 (multiplicity 4)
S: 0.0000 0.3071 0.6656 (multiplicity 4)
S: 0.0000 0.3447 0.3185 (multiplicity 4)
S: 0.0000 0.4983 0.0739 (multiplicity 4)

total energy = -6.611 eV per atom

***

# 2
Below is a geometry-optimized Ac4Sb2N structure, with properties calculated at the GGA-PBE level.

a = 7.6397 Å, b = 7.2978 Å, c = 9.3119 Å
α = 90.00°, β = 107.47°, γ = 90.00°
Space group P2_1/m (No. 11)
One atom of each set of equivalent atoms:
Ac: 0.0049 0.0033 0.2350 (multiplicity 4)
Ac: 0.3827 0.7500 0.5679 (multiplicity 2)
Ac: 0.4147 0.7500 0.1335 (multiplicity 2)
Sb: 0.2307 0.2500 0.5527 (multiplicity 2)
Sb: 0.2770 0.2500 0.0708 (multiplicity 2)
N: 0.2125 0.7500 0.3011 (multiplicity 2)

offset from the most stable computed form = 0 meV per atom

***

# 3
Below is a geometry-optimized MgOsPb2 structure, with properties calculated at the GGA-PBE level.

a = 3.1785 Å, b = 4.5854 Å, c = 14.0686 Å
α = 90.00°, β = 90.00°, γ = 90.00°
Space group Immm (No. 71)
One atom of each set of equivalent atoms:
Mg: 0.0000 0.0000 0.0000 (multiplicity 2)
Os: 0.0000 0.0000 0.5000 (multiplicity 2)
Pb: 0.0000 0.5000 0.1655 (multiplicity 4)

formation enthalpy at 0 K = 0.365 eV/atom

***

# 4
Below is a geometry-optimized LiNbHg2 structure, with properties calculated at the GGA-PBE level.

a = 7.2522 Å, b = 7.2522 Å, c = 6.1610 Å
α = 90.00°, β = 90.00°, γ = 90.00°
Space group I-42d (No. 122)
One atom of each set of equivalent atoms:
Li: 0.0000 0.0000 0.0000 (multiplicity 4)
Nb: 0.0000 0.0000 0.5000 (multiplicity 4)
Hg: 0.2234 0.2500 0.1250 (multiplicity 8)

formation enthalpy at 0 K = 0.435 eV/atom

***

Number 1: volume 20.21 Å³/atom, mass density 5.47 g cm⁻³. Number 2: volume 35.37 Å³/atom, mass density 7.82 g cm⁻³. Number 3: volume 25.63 Å³/atom, mass density 10.19 g cm⁻³. Number 4: volume 20.25 Å³/atom, mass density 10.27 g cm⁻³.